<P>
Hf3TaS (GGA-PBE, optimized geometry); symmetry = Pm-3m (221)
1.0
4.727 0.000 0.000
0.000 4.727 0.000
0.000 0.000 4.727
Hf Ta S
3 1 1
Direct
0.000 0.000 0.500
0.000 0.500 0.000
0.500 0.000 0.000
0.500 0.500 0.500
0.000 0.000 0.000

---

<Q>
Hf3TaS (GGA-PBE, optimized geometry); symmetry = Pm-3m (221)
1.0
5.105 0.000 0.000
0.000 5.105 0.000
0.000 0.000 5.105
Hf Ta S
3 1 1
Direct
0.000 0.000 0.500
0.000 0.500 0.000
0.500 0.000 0.000
0.000 0.000 0.000
0.500 0.500 0.500

---

Calculated relative energies: <P> 0; <Q> 1361, given in meV per atom

---

<P>
HfTa3S (GGA-PBE, optimized geometry); symmetry = Pm-3m (221)
1.0
4.591 0.000 0.000
0.000 4.591 0.000
0.000 0.000 4.591
Hf Ta S
1 3 1
Direct
0.000 0.000 0.000
0.000 0.500 0.500
0.500 0.000 0.500
0.500 0.500 0.000
0.500 0.500 0.500

---

<Q>
HfTa3S (GGA-PBE, optimized geometry); symmetry = Pm-3m (221)
1.0
4.941 0.000 0.000
0.000 4.941 0.000
0.000 0.000 4.941
Hf Ta S
1 3 1
Direct
0.000 0.000 0.000
0.000 0.000 0.500
0.000 0.500 0.000
0.500 0.000 0.000
0.500 0.500 0.500

---

Calculated relative energies: <P> 0; <Q> 2028, given in meV per atom

---

<P>
HfTaZnS2 (GGA-PBE, optimized geometry); symmetry = P4/mmm (123)
1.0
4.790 0.000 0.000
0.000 4.790 0.000
0.000 0.000 5.064
Hf Ta Zn S
1 1 1 2
Direct
0.000 0.000 0.000
0.500 0.500 0.500
0.000 0.000 0.500
0.000 0.500 0.000
0.500 0.000 0.000

---

<Q>
HfTaZnS2 (GGA-PBE, optimized geometry); symmetry = P4/mmm (123)
1.0
4.799 0.000 0.000
0.000 4.799 0.000
0.000 0.000 5.463
Hf Ta Zn S
1 1 1 2
Direct
0.000 0.000 0.000
0.000 0.000 0.500
0.500 0.500 0.500
0.000 0.500 0.000
0.500 0.000 0.000

---

Calculated relative energies: <P> 26; <Q> 0, given in meV per atom

---

<P>
Tb2HfS5 (GGA-PBE, optimized geometry); symmetry = Cmcm (63)
1.0
2.596 -6.606 0.000
2.596 6.606 0.000
0.000 0.000 12.776
Tb Hf S
4 2 10
Direct
0.145 0.855 0.562
0.145 0.855 0.938
0.855 0.145 0.062
0.855 0.145 0.438
0.189 0.811 0.250
0.811 0.189 0.750
0.049 0.951 0.123
0.049 0.951 0.377
0.266 0.734 0.750
0.306 0.694 0.086
0.306 0.694 0.414
0.694 0.306 0.586
0.694 0.306 0.914
0.734 0.266 0.250
0.951 0.049 0.623
0.951 0.049 0.877

---

<Q>
Tb2HfS5 (GGA-PBE, optimized geometry); symmetry = Pnma (62)
1.0
11.557 0.000 0.000
0.000 7.769 0.000
0.000 0.000 7.273
Tb Hf S
8 4 20
Direct
0.179 0.003 0.024
0.179 0.497 0.024
0.321 0.503 0.524
0.321 0.997 0.524
0.679 0.003 0.476
0.679 0.497 0.476
0.821 0.503 0.976
0.821 0.997 0.976
0.006 0.750 0.576
0.494 0.250 0.076
0.506 0.750 0.924
0.994 0.250 0.424
0.004 0.750 0.946
0.092 0.036 0.661
0.092 0.464 0.661
0.181 0.750 0.334
0.207 0.250 0.312
0.293 0.750 0.812
0.319 0.250 0.834
0.408 0.536 0.161
0.408 0.964 0.161
0.496 0.250 0.446
0.504 0.750 0.554
0.592 0.036 0.839
0.592 0.464 0.839
0.681 0.750 0.166
0.707 0.250 0.188
0.793 0.750 0.688
0.819 0.250 0.666
0.908 0.536 0.339
0.908 0.964 0.339
0.996 0.250 0.054

---

Calculated relative energies: <P> 67; <Q> 0, given in meV per atom

---

<P>
TbHfS2 (GGA-PBE, optimized geometry); symmetry = R-3m (166)
1.0
3.786 0.000 0.000
-1.893 3.279 0.000
0.000 0.000 18.459
Tb Hf S
3 3 6
Direct
0.000 0.000 0.000
0.333 0.667 0.667
0.667 0.333 0.333
0.000 0.000 0.500
0.333 0.667 0.167
0.667 0.333 0.833
0.000 0.000 0.243
0.000 0.000 0.757
0.333 0.667 0.423
0.333 0.667 0.910
0.667 0.333 0.090
0.667 0.333 0.577

---

<Q>
TbHfS2 (GGA-PBE, optimized geometry); symmetry = R3m (160)
1.0
3.676 0.000 0.000
-1.838 3.184 0.000
0.000 0.000 19.865
Tb Hf S
3 3 6
Direct
0.000 0.000 0.000
0.333 0.667 0.667
0.667 0.333 0.333
0.000 0.000 0.175
0.333 0.667 0.842
0.667 0.333 0.509
0.000 0.000 0.581
0.000 0.000 0.762
0.333 0.667 0.248
0.333 0.667 0.429
0.667 0.333 0.096
0.667 0.333 0.914

---

Calculated relative energies: <P> 0; <Q> 13, given in meV per atom

---

<P>
Hf3TcS (GGA-PBE, optimized geometry); symmetry = Pm-3m (221)
1.0
4.686 0.000 0.000
0.000 4.686 0.000
0.000 0.000 4.686
Hf Tc S
3 1 1
Direct
0.000 0.000 0.500
0.000 0.500 0.000
0.500 0.000 0.000
0.500 0.500 0.500
0.000 0.000 0.000

---

<Q>
Hf3TcS (GGA-PBE, optimized geometry); symmetry = Pnma (62)
1.0
8.205 0.000 0.000
0.000 3.409 0.000
0.000 0.000 13.744
Hf Tc S
12 4 4
Direct
0.024 0.250 0.119
0.151 0.250 0.551
0.197 0.750 0.284
0.303 0.250 0.784
0.349 0.750 0.051
0.476 0.750 0.619
0.524 0.250 0.381
0.651 0.250 0.949
0.697 0.750 0.216
0.803 0.250 0.716
0.849 0.750 0.449
0.976 0.750 0.881
0.076 0.750 0.696
0.424 0.250 0.196
0.576 0.750 0.804
0.924 0.250 0.304
0.177 0.250 0.955
0.323 0.750 0.455
0.677 0.250 0.545
0.823 0.750 0.045

---

Calculated relative energies: <P> 627; <Q> 0, given in meV per atom